Entry 1:
# La2PmInN (PBE, optimized geometry)
data_La2PmInN
_cell_length_a 5.114
_cell_length_b 5.114
_cell_length_c 5.052
_cell_angle_alpha 90.00
_cell_angle_beta 90.00
_cell_angle_gamma 90.00
_space_group_name_H-M_alt 'P 4/m m m'
_space_group_IT_number 123
_space_group_name_Hall '-P 4 2'
loop_
_atom_site_label
_atom_site_type_symbol
_atom_site_fract_x
_atom_site_fract_y
_atom_site_fract_z
_atom_site_occupancy
La1 La 0.000 0.500 0.000 1
Pm1 Pm 0.000 0.000 0.500 1
In1 In 0.500 0.500 0.500 1
N1 N 0.000 0.000 0.000 1
# formation energy from raw total energies = -0.8786 eV/atom

=====

Entry 2:
# Cs2TaCuCl6 (PBE, optimized geometry)
data_Cs2TaCuCl6
_cell_length_a 10.245
_cell_length_b 10.245
_cell_length_c 10.245
_cell_angle_alpha 90.00
_cell_angle_beta 90.00
_cell_angle_gamma 90.00
_space_group_name_H-M_alt 'F m -3 m'
_space_group_IT_number 225
_space_group_name_Hall '-F 4 2 3'
loop_
_atom_site_label
_atom_site_type_symbol
_atom_site_fract_x
_atom_site_fract_y
_atom_site_fract_z
_atom_site_occupancy
Cs1 Cs 0.250 0.250 0.250 1
Ta1 Ta 0.000 0.000 0.000 1
Cu1 Cu 0.000 0.000 0.500 1
Cl1 Cl 0.000 0.000 0.245 1
# formation energy from raw total energies = -1.2438 eV/atom

=====

Entry 3:
# B2C (PBE, optimized geometry)
data_B2C
_cell_length_a 8.447
_cell_length_b 2.699
_cell_length_c 7.910
_cell_angle_alpha 90.00
_cell_angle_beta 115.95
_cell_angle_gamma 90.00
_space_group_name_H-M_alt 'C 1 2/m 1'
_space_group_IT_number 12
_space_group_name_Hall '-C 2y'
loop_
_atom_site_label
_atom_site_type_symbol
_atom_site_fract_x
_atom_site_fract_y
_atom_site_fract_z
_atom_site_occupancy
B1 B 0.015 0.000 0.220 1
B2 B 0.109 0.000 0.029 1
B3 B 0.200 0.000 0.644 1
B4 B 0.233 0.000 0.913 1
C1 C 0.094 0.500 0.518 1
C2 C 0.104 0.500 0.334 1
# energy relative to the lowest polymorph listed for this composition = 0.30 eV/f.u.

=====

Entry 4:
# Sr3HfU2P6 (PBE, optimized geometry)
data_Sr3HfU2P6
_cell_length_a 6.983
_cell_length_b 12.095
_cell_length_c 7.299
_cell_angle_alpha 90.00
_cell_angle_beta 108.61
_cell_angle_gamma 90.00
_space_group_name_H-M_alt 'C 1 2/m 1'
_space_group_IT_number 12
_space_group_name_Hall '-C 2y'
loop_
_atom_site_label
_atom_site_type_symbol
_atom_site_fract_x
_atom_site_fract_y
_atom_site_fract_z
_atom_site_occupancy
Sr1 Sr 0.000 0.000 0.000 1
Sr2 Sr 0.000 0.333 0.000 1
Hf1 Hf 0.000 0.500 0.500 1
U1 U 0.000 0.167 0.500 1
P1 P 0.233 0.337 0.710 1
P2 P 0.244 0.000 0.711 1
# E = -6.92 eV per atom

=====

Entry 5:
# ZnAgSn2As (PBE, optimized geometry)
data_ZnAgSn2As
_cell_length_a 5.292
_cell_length_b 5.292
_cell_length_c 4.766
_cell_angle_alpha 90.00
_cell_angle_beta 90.00
_cell_angle_gamma 90.00
_space_group_name_H-M_alt 'P 4/m m m'
_space_group_IT_number 123
_space_group_name_Hall '-P 4 2'
loop_
_atom_site_label
_atom_site_type_symbol
_atom_site_fract_x
_atom_site_fract_y
_atom_site_fract_z
_atom_site_occupancy
Zn1 Zn 0.000 0.000 0.000 1
Ag1 Ag 0.500 0.500 0.500 1
Sn1 Sn 0.000 0.500 0.000 1
As1 As 0.000 0.000 0.500 1
# E = -2.85 eV per atom

=====

Entry 6:
# BaLiLa2Tl4 (PBE, optimized geometry)
data_BaLiLa2Tl4
_cell_length_a 5.4765
_cell_length_b 5.4765
_cell_length_c 30.1885
_cell_angle_alpha 90.00
_cell_angle_beta 90.00
_cell_angle_gamma 120.00
_space_group_name_H-M_alt 'R -3 m'
_space_group_IT_number 166
_space_group_name_Hall '-R 3 2"'
loop_
_atom_site_label
_atom_site_type_symbol
_atom_site_fract_x
_atom_site_fract_y
_atom_site_fract_z
_atom_site_occupancy
Ba1 Ba 0.0000 0.0000 0.0000 1
Li1 Li 0.0000 0.0000 0.5000 1
La1 La 0.0000 0.0000 0.2349 1
Tl1 Tl 0.0000 0.0000 0.1260 1
Tl2 Tl 0.0000 0.0000 0.3942 1
# E = -3.23 eV per atom

=====

Entry 7:
# Nd12AlCd3 (PBE, optimized geometry)
data_Nd12AlCd3
_cell_length_a 4.967
_cell_length_b 4.967
_cell_length_c 19.811
_cell_angle_alpha 90.00
_cell_angle_beta 90.00
_cell_angle_gamma 90.00
_space_group_name_H-M_alt 'P 4/m m m'
_space_group_IT_number 123
_space_group_name_Hall '-P 4 2'
loop_
_atom_site_label
_atom_site_type_symbol
_atom_site_fract_x
_atom_site_fract_y
_atom_site_fract_z
_atom_site_occupancy
Nd1 Nd 0.000 0.000 0.000 1
Nd2 Nd 0.000 0.000 0.248 1
Nd3 Nd 0.000 0.000 0.500 1
Nd4 Nd 0.000 0.500 0.121 1
Nd5 Nd 0.000 0.500 0.374 1
Al1 Al 0.500 0.500 0.000 1
Cd1 Cd 0.500 0.500 0.249 1
Cd2 Cd 0.500 0.500 0.500 1
# E = -4.11 eV per atom

=====

Entry 8:
# AcHoZn2Ga2 (PBE, optimized geometry)
data_AcHoZn2Ga2
_cell_length_a 4.4833
_cell_length_b 4.4833
_cell_length_c 7.8525
_cell_angle_alpha 90.00
_cell_angle_beta 90.00
_cell_angle_gamma 120.00
_space_group_name_H-M_alt 'P -3 m 1'
_space_group_IT_number 164
_space_group_name_Hall '-P 3 2"'
loop_
_atom_site_label
_atom_site_type_symbol
_atom_site_fract_x
_atom_site_fract_y
_atom_site_fract_z
_atom_site_occupancy
Ac1 Ac 0.0000 0.0000 0.0000 1
Ho1 Ho 0.0000 0.0000 0.5000 1
Zn1 Zn 0.3333 0.6667 0.7006 1
Ga1 Ga 0.3333 0.6667 0.2866 1
# E = -3.42 eV per atom

=====

Entry 9:
# SiIrIO2 (PBE, optimized geometry)
data_SiIrIO2
_cell_length_a 3.537
_cell_length_b 3.537
_cell_length_c 8.021
_cell_angle_alpha 90.00
_cell_angle_beta 90.00
_cell_angle_gamma 90.00
_space_group_name_H-M_alt 'P 4/m m m'
_space_group_IT_number 123
_space_group_name_Hall '-P 4 2'
loop_
_atom_site_label
_atom_site_type_symbol
_atom_site_fract_x
_atom_site_fract_y
_atom_site_fract_z
_atom_site_occupancy
Si1 Si 0.000 0.000 0.000 1
Ir1 Ir 0.500 0.500 0.500 1
I1 I 0.000 0.000 0.500 1
O1 O 0.000 0.500 0.000 1
# formation energy from raw total energies = -0.2673 eV/atom
# energy relative to the lowest polymorph listed for this composition = 0.00 eV/f.u.

=====

Entry 10:
# Mg2WN3 (PBE, optimized geometry)
data_Mg2WN3
_cell_length_a 9.948
_cell_length_b 4.309
_cell_length_c 6.013
_cell_angle_alpha 90.00
_cell_angle_beta 107.67
_cell_angle_gamma 90.00
_space_group_name_H-M_alt 'C 1 2/c 1'
_space_group_IT_number 15
_space_group_name_Hall '-C 2yc'
loop_
_atom_site_label
_atom_site_type_symbol
_atom_site_fract_x
_atom_site_fract_y
_atom_site_fract_z
_atom_site_occupancy
Mg1 Mg 0.175 0.000 0.087 1
W1 W 0.000 0.463 0.250 1
N1 N 0.000 0.018 0.250 1
N2 N 0.157 0.499 0.078 1
# formation energy from raw total energies = -0.7179 eV/atom

=====

Entry 11:
# IrSe2Cl (PBE, optimized geometry)
data_IrSe2Cl
_cell_length_a 2.893
_cell_length_b 3.335
_cell_length_c 8.102
_cell_angle_alpha 90.00
_cell_angle_beta 90.00
_cell_angle_gamma 90.00
_space_group_name_H-M_alt 'P m m m'
_space_group_IT_number 47
_space_group_name_Hall '-P 2 2'
loop_
_atom_site_label
_atom_site_type_symbol
_atom_site_fract_x
_atom_site_fract_y
_atom_site_fract_z
_atom_site_occupancy
Ir1 Ir 0.000 0.000 0.000 1
Se1 Se 0.500 0.500 0.191 1
Cl1 Cl 0.000 0.000 0.500 1
# formation energy from raw total energies = 0.2383 eV/atom
# energy relative to the lowest polymorph listed for this composition = 1.98 eV/f.u.

=====

Entry 12:
# NdZr2V (PBE, optimized geometry)
data_NdZr2V
_cell_length_a 3.374
_cell_length_b 3.374
_cell_length_c 8.139
_cell_angle_alpha 90.00
_cell_angle_beta 90.00
_cell_angle_gamma 90.00
_space_group_name_H-M_alt 'P 4/m m m'
_space_group_IT_number 123
_space_group_name_Hall '-P 4 2'
loop_
_atom_site_label
_atom_site_type_symbol
_atom_site_fract_x
_atom_site_fract_y
_atom_site_fract_z
_atom_site_occupancy
Nd1 Nd 0.000 0.000 0.000 1
Zr1 Zr 0.500 0.500 0.308 1
V1 V 0.000 0.000 0.500 1
# energy relative to the lowest polymorph listed for this composition = 0.00 eV/f.u.

=====

In μB per formula unit, the total magnetic moment values for the records above are, in order, 0.0, 2.0, 0.0, 3.8, 0.0, 0.0, 0.0, 0.0, 0.0, 0.0, 0.1, 0.0.